[1]
Compound: CsIn2ReMo
Source: Alexandria via LeMat-Bulk
Functional: PBE
Structure: optimized geometry

The total magnetization is 3.9 μB per formula unit. The theoretical density comes out at 5.955 g cm⁻³. As for the symmetry: No. 123. The calculated formation energy comes out at 1519 kJ/mol of formula units.

```
CsIn2ReMo
1.0
5.989 0.000 0.000
0.000 5.012 0.000
0.000 0.000 5.989
Cs Re In Mo
1 1 2 1
direct
0.000 0.000 0.000
0.500 0.500 0.500
0.500 0.000 0.000
0.000 0.000 0.500
0.000 0.500 0.000
```


[2]
Compound: CsSrInMo2
Source: Alexandria via LeMat-Bulk
Functional: PBE
Structure: optimized geometry

The total magnetization is 7.0 μB per formula unit. The theoretical density comes out at 4.400 g cm⁻³. As for the symmetry: No. 123. The calculated formation energy comes out at 1116 kJ/mol of formula units.

```
CsSrInMo2
1.0
-3.873 -1.824 3.642
-0.085 -5.594 -2.892
4.073 -1.828 3.416
Cs In Sr Mo
1 1 1 2
direct
0.000 0.500 0.000
0.500 0.500 0.500
0.000 0.000 0.000
0.000 0.000 0.500
0.500 0.000 0.000
```


[3]
Compound: CsIn2TeMo
Source: Alexandria via LeMat-Bulk
Functional: PBE
Structure: optimized geometry

The total magnetization is 0.0 μB per formula unit. The theoretical density comes out at 6.053 g cm⁻³. As for the symmetry: No. 123. The formation energy without anion corrections comes out at 0.3 kJ per mole of atoms.

```
CsIn2TeMo
1.0
-3.328 3.393 -2.767
-0.521 -3.641 -3.838
-4.345 -2.131 2.612
Cs Te In Mo
1 1 2 1
direct
0.500 0.500 0.500
0.000 0.500 0.000
0.000 0.000 0.500
0.500 0.000 0.000
0.000 0.000 0.000
```